## CsCdFeF6 (GGA+U)

Data for an optimized crystal structure of CsCdFeF6.

## Properties
* electronic total energy: -4.43 eV per atom

a b c (Å): 7.7186 7.8956 10.5155
angles (deg): 90.00 90.00 90.00
Space group Imma (No. 74)
Symmetry-distinct sites (fractional):
Cs 0.0000 0.2500 0.1425 (multiplicity 4)
Cd 0.2500 0.2500 0.7500 (multiplicity 4)
Fe 0.0000 0.0000 0.5000 (multiplicity 4)
F 0.0000 0.2500 0.4673 (multiplicity 4)
F 0.0000 0.2500 0.8510 (multiplicity 4)
F 0.1745 0.0221 0.6259 (multiplicity 16)